i:
Compound: NdSnAsO
Source: OQMD via LeMat-Bulk
Functional: PBE-GGA
Structure: optimized geometry

Unit cell a=4.9973 b=6.0040 c=6.4998 alpha=90.00 beta=90.00 gamma=90.00
Space group Pmc2_1 (No. 26)
Inequivalent atoms, fractional coordinates:
Nd: 0.0000 0.1893 0.0000 x2
Sn: 0.5000 0.2245 0.3605 x2
As: 0.5000 0.2922 0.7702 x2
O: 0.0000 0.1436 0.3502 x2

ii:
Compound: NdSnAsO
Source: OQMD via LeMat-Bulk
Functional: PBE-GGA
Structure: optimized geometry

Unit cell a=4.0915 b=8.7942 c=6.2096 alpha=90.00 beta=90.00 gamma=90.00
Space group Pmc2_1 (No. 26)
Inequivalent atoms, fractional coordinates:
Nd: 0.0000 0.1659 0.0000 x2
Sn: 0.5000 0.3602 0.5992 x2
As: 0.0000 0.1702 0.4842 x2
O: 0.5000 0.2556 0.9224 x2

Of the structures shown above, ii is the most stable.